[1]
# PrInCu

Crystalline PrInCu at its relaxed geometry (PBE-GGA, Alexandria via LeMat-Bulk).

## Properties
The value obtained for the energy is -4.050 eV per atom. The size of the total moment is 0.00 μB/f.u.

Cell: 3.4179 3.4179 11.8680 Å, 90.00 90.00 90.00°
With the nearest neighbours (Å) after each atom.
Space group I4mm (No. 107)
One atom of each set of equivalent atoms:
1 Pr 0.0000 0.0000 0.0000 (multiplicity 2)  4 Cu 3.14, 4 Pr 3.42, 5 In 3.44-3.49
2 In 0.0000 0.0000 0.2939 (multiplicity 2)  4 Cu 2.84
3 Cu 0.0000 0.0000 0.6686 (multiplicity 2)  4 In 2.84, 4 Pr 3.14

=====

[2]
# Pr4In3Cu

Crystalline Pr4In3Cu at its relaxed geometry (PBE-GGA, Alexandria via LeMat-Bulk).

## Properties
The value obtained for the energy is -4.324 eV per atom. The size of the total moment is 0.01 μB/f.u.

Cell: 3.6790 3.6790 16.7003 Å, 90.00 90.00 90.00°
With the nearest neighbours (Å) after each atom.
Space group P4/mmm (No. 123)
One atom of each set of equivalent atoms:
1 Pr 0.0000 0.0000 0.1071 (multiplicity 2)  4 Cu 3.16, 4 In 3.39
2 Pr 0.0000 0.0000 0.3690 (multiplicity 2)  8 In 3.40-3.41, 4 Pr 3.68
3 In 0.5000 0.5000 0.2369 (multiplicity 2)  8 Pr 3.39-3.41, 4 In 3.68
4 In 0.5000 0.5000 0.5000 (multiplicity 1)  8 Pr 3.40, 4 In 3.68
5 Cu 0.5000 0.5000 0.0000 (multiplicity 1)  8 Pr 3.16

=====

[3]
# Pr4InCu

Crystalline Pr4InCu at its relaxed geometry (PBE-GGA, Alexandria via LeMat-Bulk).

## Properties
The value obtained for the distance to the lowest polymorph of the same formula is 135 meV/atom. The value obtained for the energy is -4.375 eV per atom. The size of the total moment is 0.00 μB/f.u.

Cell: 6.4031 9.3509 6.2617 Å, 90.00 105.32 90.00°
With the nearest neighbours (Å) after each atom.
Space group P2_1/c (No. 14)
One atom of each set of equivalent atoms:
1 Pr 0.0940 0.1736 0.1273 (multiplicity 4)  2 Cu 3.03-3.17, 1 In 3.34, 1 Pr 3.39
2 Pr 0.3844 0.6538 0.9414 (multiplicity 4)  1 Cu 2.96, 1 Pr 3.23
3 In 0.5000 0.0000 0.0000 (multiplicity 2)  8 Pr 3.32-3.67
4 Cu 0.0000 0.0000 0.5000 (multiplicity 2)  6 Pr 2.96-3.17

=====

[4]
# Pr5InCu2

Crystalline Pr5InCu2 at its relaxed geometry (PBE-GGA, Alexandria via LeMat-Bulk).

## Properties
The value obtained for the energy is -4.538 eV per atom. The size of the total moment is 0.00 μB/f.u.

Cell: 8.2925 8.2925 13.3232 Å, 90.00 90.00 90.00°
With the nearest neighbours (Å) after each atom.
Space group I4/mcm (No. 140)
One atom of each set of equivalent atoms:
1 Pr 0.0000 0.0000 0.0000 (multiplicity 4)  4 Cu 3.26, 2 In 3.33
2 Pr 0.1546 0.3454 0.1429 (multiplicity 16)  3 Cu 3.03-3.18
3 In 0.0000 0.0000 0.2500 (multiplicity 4)  10 Pr 3.33-3.45
4 Cu 0.1287 0.3713 0.5000 (multiplicity 8)  1 Cu 3.02, 8 Pr 3.03-3.26

=====

[5]
# Pr8InCu2

Crystalline Pr8InCu2 at its relaxed geometry (PBE-GGA, Alexandria via LeMat-Bulk).

## Properties
The value obtained for the distance to the lowest polymorph of the same formula is 0 meV/atom. The value obtained for the energy is -4.592 eV per atom. The size of the total moment is 0.00 μB/f.u.

Cell: 17.9217 5.1217 7.9612 Å, 90.00 114.10 90.00°
With the nearest neighbours (Å) after each atom.
Space group C2/m (No. 12)
One atom of each set of equivalent atoms:
1 Pr 0.0444 0.0000 0.2633 (multiplicity 4)  1 Cu 3.00
2 Pr 0.0933 0.5000 0.9682 (multiplicity 4)  2 Cu 3.10, 1 In 3.41
3 Pr 0.1823 0.5000 0.4810 (multiplicity 4)  1 Cu 2.86
4 Pr 0.1858 0.0000 0.7940 (multiplicity 4)  1 Cu 2.90
5 In 0.0000 0.5000 0.5000 (multiplicity 2)  8 Pr 3.33-3.46
6 Cu 0.1876 0.0000 0.1599 (multiplicity 4)  5 Pr 2.86-3.10

=====

[6]
# PrIn2Cu

Crystalline PrIn2Cu at its relaxed geometry (PBE-GGA, Alexandria via LeMat-Bulk).

## Properties
The value obtained for the energy is -3.784 eV per atom. The size of the total moment is 0.00 μB/f.u.

Cell: 3.4691 3.4691 7.7082 Å, 90.00 90.00 90.00°
With the nearest neighbours (Å) after each atom.
Space group P4/mmm (No. 123)
One atom of each set of equivalent atoms:
1 Pr 0.0000 0.0000 0.0000 (multiplicity 1)  8 In 3.39, 4 Pr 3.47
2 In 0.5000 0.5000 0.3034 (multiplicity 2)  4 Cu 2.88, 1 In 3.03
3 Cu 0.0000 0.0000 0.5000 (multiplicity 1)  8 In 2.88

=====

[7]
# PrIn3Cu8

Crystalline PrIn3Cu8 at its relaxed geometry (PBE-GGA, Alexandria via LeMat-Bulk).

## Properties
The value obtained for the energy is -3.902 eV per atom. The size of the total moment is 0.00 μB/f.u.

Cell: 5.1012 5.1012 8.6261 Å, 90.00 90.00 120.00°
With the nearest neighbours (Å) after each atom.
Space group P3m1 (No. 156)
One atom of each set of equivalent atoms:
1 Pr 0.0000 0.0000 0.0000 (multiplicity 1)  12 Cu 3.02-3.17, 4 In 3.22-3.24
2 In 0.0000 0.0000 0.3759 (multiplicity 1)  12 Cu 2.96-3.01, 3 In 3.11, 1 Pr 3.24
3 In 0.6667 0.3333 0.4903 (multiplicity 1)  12 Cu 2.97-3.00, 4 In 3.10-3.11
4 In 0.6667 0.3333 0.8492 (multiplicity 1)  12 Cu 2.97-3.29, 1 In 3.10, 3 Pr 3.22
5 Cu 0.1657 0.3314 0.6739 (multiplicity 3)  6 Cu 2.54-2.59
6 Cu 0.3333 0.6667 0.4314 (multiplicity 1)  6 Cu 2.55-2.56
7 Cu 0.3333 0.6667 0.9209 (multiplicity 1)  6 Cu 2.59-2.76
8 Cu 0.5005 0.0010 0.1908 (multiplicity 3)  6 Cu 2.54-2.76

=====

[8]
# PrInCu

Crystalline PrInCu at its relaxed geometry (PBE-GGA, Alexandria via LeMat-Bulk).

## Properties
The value obtained for the energy is -4.253 eV per atom. The size of the total moment is 0.00 μB/f.u.

Cell: 7.6632 7.6632 4.1203 Å, 90.00 90.00 120.00°
With the nearest neighbours (Å) after each atom.
Space group P-62m (No. 189)
One atom of each set of equivalent atoms:
1 Pr 0.0000 0.5860 0.0000 (multiplicity 3)  5 Cu 3.09-3.17, 6 In 3.32-3.45
2 In 0.0000 0.2470 0.5000 (multiplicity 3)  4 Cu 2.80-2.94
3 Cu 0.0000 0.0000 0.0000 (multiplicity 1)  6 In 2.80
4 Cu 0.3333 0.6667 0.5000 (multiplicity 2)  3 In 2.94, 6 Pr 3.09

=====

[9]
# PrInCu

Crystalline PrInCu at its relaxed geometry (PBE-GGA, Alexandria via LeMat-Bulk).

## Properties
The value obtained for the energy is -4.190 eV per atom. The size of the total moment is 0.00 μB/f.u.

Cell: 4.7012 4.7012 3.8159 Å, 90.00 90.00 120.00°
With the nearest neighbours (Å) after each atom.
Space group P-6m2 (No. 187)
One atom of each set of equivalent atoms:
1 Pr 0.0000 0.0000 0.0000 (multiplicity 1)  6 Cu 3.32, 6 In 3.32
2 In 0.6667 0.3333 0.5000 (multiplicity 1)  3 Cu 2.71
3 Cu 0.3333 0.6667 0.5000 (multiplicity 1)  3 In 2.71

=====

[10]
# Pr12InCu5

Crystalline Pr12InCu5 at its relaxed geometry (PBE-GGA, Alexandria via LeMat-Bulk).

## Properties
The value obtained for the energy is -4.599 eV per atom. The size of the total moment is 0.00 μB/f.u.

Cell: 9.7451 10.0865 10.6341 Å, 90.00 90.00 90.00°
With the nearest neighbours (Å) after each atom.
Space group Immm (No. 71)
One atom of each set of equivalent atoms:
1 Pr 0.0000 0.1888 0.2326 (multiplicity 8)  2 Cu 3.02-3.12
2 Pr 0.1966 0.5000 0.1794 (multiplicity 8)  3 Cu 2.89-3.05
3 Pr 0.2217 0.3195 0.5000 (multiplicity 8)  4 Cu 3.09-3.27
4 In 0.0000 0.0000 0.5000 (multiplicity 2)  8 Pr 3.42-3.52
5 Cu 0.0000 0.0000 0.0000 (multiplicity 2)  8 Pr 3.12-3.27
6 Cu 0.0000 0.3597 0.0000 (multiplicity 4)  1 Cu 2.83, 6 Pr 3.02-3.05
7 Cu 0.0000 0.5000 0.3831 (multiplicity 4)  1 Cu 2.49

=====

[11]
# Pr4InCu

Crystalline Pr4InCu at its relaxed geometry (PBE-GGA, Alexandria via LeMat-Bulk).

## Properties
The value obtained for the distance to the lowest polymorph of the same formula is 0 meV/atom. The value obtained for the energy is -4.510 eV per atom. The size of the total moment is 0.00 μB/f.u.

Cell: 5.5460 7.3229 8.9915 Å, 90.00 99.78 90.00°
With the nearest neighbours (Å) after each atom.
Space group P2_1/m (No. 11)
One atom of each set of equivalent atoms:
1 Pr 0.1450 0.2500 0.0421 (multiplicity 2)  2 Cu 2.83-2.96
2 Pr 0.2059 0.7500 0.3713 (multiplicity 2)  1 Cu 3.16, 2 In 3.32-3.41, 2 Pr 3.51
3 Pr 0.3293 0.5210 0.7341 (multiplicity 4)  2 Cu 3.06-3.28, 1 Pr 3.35
4 In 0.2251 0.2500 0.4134 (multiplicity 2)  11 Pr 3.29-3.68
5 Cu 0.3682 0.7500 0.0510 (multiplicity 2)  5 Pr 2.83-3.16

=====

[12]
# PrIn2Cu

Crystalline PrIn2Cu at its relaxed geometry (PBE-GGA, Alexandria via LeMat-Bulk).

## Properties
The value obtained for the energy is -3.809 eV per atom. The size of the total moment is 0.00 μB/f.u.

Cell: 4.5287 4.5287 4.6954 Å, 90.00 90.00 90.00°
With the nearest neighbours (Å) after each atom.
Space group P4/mmm (No. 123)
One atom of each set of equivalent atoms:
1 Pr 0.0000 0.0000 0.0000 (multiplicity 1)  4 Cu 3.20, 8 In 3.26
2 In 0.0000 0.5000 0.5000 (multiplicity 2)  4 In 3.20, 4 Cu 3.26, 4 Pr 3.26
3 Cu 0.5000 0.5000 0.0000 (multiplicity 1)  4 Pr 3.20, 8 In 3.26

=====

> What is the energy in the first record?

-4.050 eV per atom

=====

Please write out number 8 again, unchanged.
# PrInCu

Crystalline PrInCu at its relaxed geometry (PBE-GGA, Alexandria via LeMat-Bulk).

## Properties
The value obtained for the energy is -4.253 eV per atom. The size of the total moment is 0.00 μB/f.u.

Cell: 7.6632 7.6632 4.1203 Å, 90.00 90.00 120.00°
With the nearest neighbours (Å) after each atom.
Space group P-62m (No. 189)
One atom of each set of equivalent atoms:
1 Pr 0.0000 0.5860 0.0000 (multiplicity 3)  5 Cu 3.09-3.17, 6 In 3.32-3.45
2 In 0.0000 0.2470 0.5000 (multiplicity 3)  4 Cu 2.80-2.94
3 Cu 0.0000 0.0000 0.0000 (multiplicity 1)  6 In 2.80
4 Cu 0.3333 0.6667 0.5000 (multiplicity 2)  3 In 2.94, 6 Pr 3.09